# CuPt

A crystal of CuPt relaxed with PBEsol (meta-GGA SCAN, Alexandria).

The value obtained for the density of states at the Fermi level is 2.47 states/eV/f.u. The total DFT energy (no corrections) is -42.779 eV per atom. Its crystal system is orthorhombic. The value obtained for the magnetization is 0.000 μB/f.u. The calculation puts the volume at 13.36 Å³ per atom.

It has space group Pnma (No. 62), with a = 4.6249 Å, b = 4.3877 Å, c = 5.2663 Å, α = 90.00°, β = 90.00° and γ = 90.00°. The distinct sites, in fractional coordinates, are Cu at (0.0875, 0.2500, 0.1275) and Pt at (0.0920, 0.2500, 0.6243).



# CaCdSi3

A crystal of CaCdSi3 relaxed with PBEsol (meta-GGA SCAN, Alexandria).

The value obtained for the density of states at the Fermi level is 3.82 states/eV/f.u. The energy relative to the elements, uncorrected comes out at 7.876 eV/f.u. The total DFT energy (no corrections) is -12.450 eV per atom. Its crystal system is cubic. The value obtained for the magnetization is 1.181 μB/f.u. The calculation puts the volume at 28.59 Å³ per atom.

It has space group Pm-3m (No. 221), with a = 5.2284 Å, b = 5.2284 Å, c = 5.2284 Å, α = 90.00°, β = 90.00° and γ = 90.00°. The distinct sites, in fractional coordinates, are Ca at (0.0000, 0.0000, 0.0000), Cd at (0.5000, 0.5000, 0.5000) and Si at (0.0000, 0.0000, 0.5000).



# ZrHgTeN2

A crystal of ZrHgTeN2 relaxed with PBEsol (meta-GGA SCAN, Alexandria).

The value obtained for the density of states at the Fermi level is 3.16 states/eV/f.u. The energy relative to the elements, uncorrected comes out at 7.774 eV/f.u. The total DFT energy (no corrections) is -29.385 eV per atom. Its crystal system is tetragonal. The value obtained for the magnetization is 1.231 μB/f.u. The calculation puts the volume at 19.68 Å³ per atom.

It has space group P4/mmm (No. 123), with a = 4.1988 Å, b = 4.1988 Å, c = 5.5821 Å, α = 90.00°, β = 90.00° and γ = 90.00°. The distinct sites, in fractional coordinates, are Zr at (0.0000, 0.0000, 0.0000), Hg at (0.5000, 0.5000, 0.5000), Te at (0.5000, 0.5000, 0.0000) and N at (0.0000, 0.5000, 0.5000).



# BeFeIr2

A crystal of BeFeIr2 relaxed with PBEsol (meta-GGA SCAN, Alexandria).

The value obtained for the density of states at the Fermi level is 3.23 states/eV/f.u. The total DFT energy (no corrections) is -41.153 eV per atom. Its crystal system is orthorhombic. The value obtained for the magnetization is 3.322 μB/f.u. The calculation puts the volume at 12.47 Å³ per atom.

It has space group Cmm2 (No. 35), with a = 2.7026 Å, b = 4.4894 Å, c = 8.2203 Å, α = 90.00°, β = 90.00° and γ = 90.00°. The distinct sites, in fractional coordinates, are Be at (0.0000, 0.0000, 0.0000), Fe at (0.0000, 0.5000, 0.7759), Ir at (0.0000, 0.0000, 0.5183) and Ir at (0.0000, 0.5000, 0.2228).



# Ti2CoNi

A crystal of Ti2CoNi relaxed with PBEsol (meta-GGA SCAN, Alexandria).

The value obtained for the density of states at the Fermi level is 4.05 states/eV/f.u. The total DFT energy (no corrections) is -16.652 eV per atom. Its crystal system is orthorhombic. The value obtained for the magnetization is 0.000 μB/f.u. The calculation puts the volume at 13.09 Å³ per atom.

It has space group Imm2 (No. 44), with a = 7.6173 Å, b = 7.6469 Å, c = 10.7893 Å, α = 90.00°, β = 90.00° and γ = 90.00°. The distinct sites, in fractional coordinates, are Ti at (0.0000, 0.0000, 0.0000), Ti at (0.0000, 0.0000, 0.3939), Ti at (0.0000, 0.5000, 0.2455), Ti at (0.0000, 0.5000, 0.6447), Ti at (0.1990, 0.1953, 0.1992), Ti at (0.2001, 0.3004, 0.4469), Co at (0.0000, 0.2511, 0.8205), Co at (0.1691, 0.5000, 0.8626), Co at (0.2486, 0.0000, 0.5702), Ni at (0.0000, 0.1715, 0.6112), Ni at (0.0000, 0.3299, 0.0320) and Ni at (0.1723, 0.0000, 0.7832).



# MgRu3S

A crystal of MgRu3S relaxed with PBEsol (meta-GGA SCAN, Alexandria).

The calculation puts the polymorph energy (0 for the lowest one) at 1932 meV/atom. The value obtained for the density of states at the Fermi level is 6.25 states/eV/f.u. The energy relative to the elements, uncorrected comes out at 10.530 eV/f.u. The total DFT energy (no corrections) is -21.710 eV per atom. Its crystal system is cubic. The value obtained for the magnetization is 6.459 μB/f.u. The calculation puts the volume at 17.21 Å³ per atom.

It has space group Pm-3m (No. 221), with a = 4.4150 Å, b = 4.4150 Å, c = 4.4150 Å, α = 90.00°, β = 90.00° and γ = 90.00°. The distinct sites, in fractional coordinates, are Mg at (0.0000, 0.0000, 0.0000), Ru at (0.0000, 0.0000, 0.5000) and S at (0.5000, 0.5000, 0.5000).



# TaMnSb2

A crystal of TaMnSb2 relaxed with PBEsol (meta-GGA SCAN, Alexandria).

The calculation puts the polymorph energy (0 for the lowest one) at 0 meV/atom. The value obtained for the density of states at the Fermi level is 2.68 states/eV/f.u. The energy relative to the elements, uncorrected comes out at 0.023 eV/f.u. The total DFT energy (no corrections) is -39.834 eV per atom. Its crystal system is tetragonal. The value obtained for the magnetization is 2.786 μB/f.u. The calculation puts the volume at 18.95 Å³ per atom.

It has space group P4mm (No. 99), with a = 3.5291 Å, b = 3.5291 Å, c = 6.0865 Å, α = 90.00°, β = 90.00° and γ = 90.00°. The distinct sites, in fractional coordinates, are Ta at (0.0000, 0.0000, 0.0000), Mn at (0.5000, 0.5000, 0.2728), Sb at (0.0000, 0.0000, 0.4579) and Sb at (0.5000, 0.5000, 0.8028).



# InCoAg

A crystal of InCoAg relaxed with PBEsol (meta-GGA SCAN, Alexandria).

The calculation puts the polymorph energy (0 for the lowest one) at 0 meV/atom. The value obtained for the density of states at the Fermi level is 0.98 states/eV/f.u. The total DFT energy (no corrections) is -27.097 eV per atom. Its crystal system is trigonal. The value obtained for the magnetization is 1.799 μB/f.u. The calculation puts the volume at 15.85 Å³ per atom.

It has space group P3m1 (No. 156), with a = 4.4011 Å, b = 4.4011 Å, c = 2.8339 Å, α = 90.00°, β = 90.00° and γ = 120.00°. The distinct sites, in fractional coordinates, are In at (0.0000, 0.0000, 0.0000), Co at (0.3333, 0.6667, 0.2627) and Ag at (0.6667, 0.3333, 0.6313).



# NiTeAs2C

A crystal of NiTeAs2C relaxed with PBEsol (meta-GGA SCAN, Alexandria).

The value obtained for the density of states at the Fermi level is 4.96 states/eV/f.u. The energy relative to the elements, uncorrected comes out at 10.656 eV/f.u. The total DFT energy (no corrections) is -18.650 eV per atom. Its crystal system is tetragonal. The value obtained for the magnetization is 1.002 μB/f.u. The calculation puts the volume at 21.59 Å³ per atom.

It has space group P4/mmm (No. 123), with a = 5.2122 Å, b = 5.2122 Å, c = 3.9740 Å, α = 90.00°, β = 90.00° and γ = 90.00°. The distinct sites, in fractional coordinates, are Ni at (0.0000, 0.0000, 0.0000), Te at (0.5000, 0.5000, 0.5000), As at (0.0000, 0.5000, 0.5000) and C at (0.5000, 0.5000, 0.0000).



# AlSiRh2

A crystal of AlSiRh2 relaxed with PBEsol (meta-GGA SCAN, Alexandria).

The value obtained for the density of states at the Fermi level is 2.19 states/eV/f.u. The energy relative to the elements, uncorrected comes out at -3.165 eV/f.u. The total DFT energy (no corrections) is -22.119 eV per atom. Its crystal system is monoclinic. The value obtained for the magnetization is 0.000 μB/f.u. The calculation puts the volume at 13.35 Å³ per atom.

It has space group C2/m (No. 12), with a = 7.8914 Å, b = 2.8300 Å, c = 4.8906 Å, α = 90.00°, β = 101.99° and γ = 90.00°. The distinct sites, in fractional coordinates, are Al at (0.0000, 0.0000, 0.0000), Si at (0.0000, 0.5000, 0.5000) and Rh at (0.2448, 0.0000, 0.7414).



# ScTaNi

A crystal of ScTaNi relaxed with PBEsol (meta-GGA SCAN, Alexandria).

The calculation puts the polymorph energy (0 for the lowest one) at 645 meV/atom. The value obtained for the density of states at the Fermi level is 1.06 states/eV/f.u. The total DFT energy (no corrections) is -31.559 eV per atom. Its crystal system is cubic. The value obtained for the magnetization is 0.000 μB/f.u. The calculation puts the volume at 17.95 Å³ per atom.

It has space group F-43m (No. 216), with a = 5.9941 Å, b = 5.9941 Å, c = 5.9941 Å, α = 90.00°, β = 90.00° and γ = 90.00°. The distinct sites, in fractional coordinates, are Sc at (0.0000, 0.0000, 0.0000), Ta at (0.2500, 0.2500, 0.2500) and Ni at (0.0000, 0.0000, 0.5000).



# MnAg2Mo

A crystal of MnAg2Mo relaxed with PBEsol (meta-GGA SCAN, Alexandria).

The calculation puts the polymorph energy (0 for the lowest one) at 211 meV/atom. The value obtained for the density of states at the Fermi level is 2.40 states/eV/f.u. The total DFT energy (no corrections) is -28.532 eV per atom. Its crystal system is cubic. The value obtained for the magnetization is 1.521 μB/f.u. The calculation puts the volume at 15.37 Å³ per atom.

It has space group F-43m (No. 216), with a = 6.2658 Å, b = 6.2658 Å, c = 6.2658 Å, α = 90.00°, β = 90.00° and γ = 90.00°. The distinct sites, in fractional coordinates, are Mn at (0.0000, 0.0000, 0.0000), Ag at (0.0000, 0.0000, 0.5000), Ag at (0.2500, 0.2500, 0.7500) and Mo at (0.2500, 0.2500, 0.2500).